(1)
Here is Mn2Mo3 after structural relaxation from the Alexandria database. Energies are from PBE.

Computed properties:
The value obtained for the excess energy over the best structure of this formula in the dataset is 122 meV per atom.

```
5
Lattice="4.132 0.000 0.000 -2.066 3.579 0.000 0.000 0.000 5.071" Properties=species:S:1:pos:R:3 pbc="T T T"
Mn 0.000 2.386 1.730
Mn 2.066 1.193 3.342
Mo 0.000 0.000 2.536
Mo 0.000 2.386 4.339
Mo 2.066 1.193 0.732
```

=====

(2)
Here is Mn3Mo2 after structural relaxation from the Alexandria database. Energies are from PBE.

Computed properties:
The value obtained for the excess energy over the best structure of this formula in the dataset is 328 meV per atom.

```
5
Lattice="4.109 0.000 0.000 -2.054 3.558 0.000 0.000 0.000 5.023" Properties=species:S:1:pos:R:3 pbc="T T T"
Mn 0.000 0.000 0.000
Mn 0.000 2.372 1.685
Mn 2.054 1.186 3.339
Mo 0.000 2.372 4.091
Mo 2.054 1.186 0.932
```

=====

(3)
Here is MnMo after structural relaxation from the Alexandria database. Energies are from PBE.

Computed properties:
Its energy is -9.181 eV per atom.

```
16
Lattice="8.104 0.000 0.000 0.000 8.104 0.000 0.000 0.000 4.261" Properties=species:S:1:pos:R:3 pbc="T T T"
Mn 0.478 3.059 0.000
Mn 0.478 5.045 2.130
Mn 3.059 0.478 2.130
Mn 3.059 7.625 0.000
Mn 5.045 0.478 0.000
Mn 5.045 7.625 2.130
Mn 7.625 3.059 2.130
Mn 7.625 5.045 0.000
Mo 2.148 3.099 2.130
Mo 2.148 5.005 0.000
Mo 3.099 2.148 0.000
Mo 3.099 5.956 2.130
Mo 5.005 2.148 2.130
Mo 5.005 5.956 0.000
Mo 5.956 3.099 0.000
Mo 5.956 5.005 2.130
```

=====

(4)
Here is MnMo after structural relaxation from the Alexandria database. Energies are from PBE.

Computed properties:
Its energy is -9.679 eV per atom.

```
4
Lattice="2.572 0.000 0.000 0.000 4.446 0.000 0.000 0.000 4.928" Properties=species:S:1:pos:R:3 pbc="T T T"
Mn 0.643 1.112 0.502
Mn 1.929 3.335 4.426
Mo 0.643 3.335 1.842
Mo 1.929 1.112 3.086
```

=====

(5)
Here is MnMo after structural relaxation from the Alexandria database. Energies are from PBE.

Computed properties:
Its energy is -8.252 eV per atom.

```
2
Lattice="0.000 2.706 2.706 2.706 0.000 2.706 2.706 2.706 0.000" Properties=species:S:1:pos:R:3 pbc="T T T"
Mn 0.000 0.000 0.000
Mo 4.059 4.059 4.059
```

=====

(6)
Here is Mn2Mo after structural relaxation from the Alexandria database. Energies are from PBE.

Computed properties:
Its energy is -8.579 eV per atom.

```
12
Lattice="5.863 0.000 0.000 0.000 5.863 0.000 0.000 0.000 5.863" Properties=species:S:1:pos:R:3 pbc="T T T"
Mn 0.821 0.821 0.821
Mn 0.821 2.111 3.753
Mn 2.111 3.753 0.821
Mn 2.111 5.042 3.753
Mn 3.753 0.821 2.111
Mn 3.753 2.111 5.042
Mn 5.042 3.753 2.111
Mn 5.042 5.042 5.042
Mo 0.000 0.000 2.932
Mo 0.000 2.932 0.000
Mo 2.932 0.000 0.000
Mo 2.932 2.932 2.932
```

=====

(7)
Here is Mn5Mo4 after structural relaxation from the Alexandria database. Energies are from PBE.

Computed properties:
The value obtained for the excess energy over the best structure of this formula in the dataset is 0 meV per atom.

```
9
Lattice="-3.984 3.984 1.869 3.984 -3.984 1.869 3.984 3.984 -1.869" Properties=species:S:1:pos:R:3 pbc="T T T"
Mn 0.000 0.000 0.000
Mn 2.708 2.708 0.000
Mn 1.276 -1.276 1.869
Mn -1.276 1.276 1.869
Mn 1.276 1.276 1.869
Mo 2.462 0.000 0.000
Mo 5.505 0.000 0.000
Mo 0.000 2.462 0.000
Mo 0.000 5.505 0.000
```

=====

(8)
Here is MnMo after structural relaxation from the Alexandria database. Energies are from PBE.

Computed properties:
Its energy is -9.711 eV per atom.

```
8
Lattice="4.789 0.000 0.000 0.000 4.789 0.000 0.000 0.000 4.789" Properties=species:S:1:pos:R:3 pbc="T T T"
Mn 0.510 1.885 2.904
Mn 1.885 2.904 0.510
Mn 2.904 0.510 1.885
Mn 4.279 4.279 4.279
Mo 0.474 4.315 1.921
Mo 1.921 0.474 4.315
Mo 2.868 2.868 2.868
Mo 4.315 1.921 0.474
```

=====

(9)
Here is MnMo after structural relaxation from the Alexandria database. Energies are from PBE.

Computed properties:
Its energy is -9.845 eV per atom.

```
16
Lattice="4.767 0.000 0.000 0.000 4.882 0.000 0.000 0.000 9.356" Properties=species:S:1:pos:R:3 pbc="T T T"
Mn 0.521 0.567 2.124
Mn 0.677 1.796 4.106
Mn 1.707 3.087 8.784
Mn 1.862 4.315 6.802
Mn 2.905 1.874 7.232
Mn 3.060 0.645 5.250
Mn 4.090 4.237 0.572
Mn 4.246 3.008 2.554
Mo 0.570 1.834 6.549
Mo 0.600 4.347 4.602
Mo 1.784 0.535 9.280
Mo 1.813 3.048 1.871
Mo 2.954 0.607 2.807
Mo 2.983 2.976 4.754
Mo 4.167 1.906 0.076
Mo 4.197 4.275 7.485
```

=====

(10)
Here is Mn5Mo3 after structural relaxation from the Alexandria database. Energies are from PBE.

Computed properties:
The value obtained for the excess energy over the best structure of this formula in the dataset is 0 meV per atom.

```
8
Lattice="2.975 -4.176 0.000 2.975 4.176 0.000 0.000 0.000 4.182" Properties=species:S:1:pos:R:3 pbc="T T T"
Mn 0.000 0.000 0.000
Mn 1.487 2.088 0.000
Mn 1.525 0.000 2.091
Mn 1.487 -2.088 0.000
Mn 4.424 0.000 2.091
Mo 2.975 2.190 2.091
Mo 2.975 0.000 0.000
Mo 2.975 -2.190 2.091
```

=====

(11)
Here is MnMo after structural relaxation from the Alexandria database. Energies are from PBE.

Computed properties:
Its energy is -9.341 eV per atom.

```
2
Lattice="-1.360 2.232 2.359 1.360 -2.232 2.359 1.360 2.232 -2.359" Properties=species:S:1:pos:R:3 pbc="T T T"
Mn 0.000 0.000 0.000
Mo 0.000 0.000 2.359
```

=====

(12)
Here is Mn2Mo after structural relaxation from the Alexandria database. Energies are from PBE.

Computed properties:
Its energy is -9.580 eV per atom.

```
3
Lattice="4.170 0.000 0.000 -2.085 3.611 0.000 0.000 0.000 2.582" Properties=species:S:1:pos:R:3 pbc="T T T"
Mn 0.000 2.408 0.787
Mn 2.085 1.204 1.795
Mo 0.000 0.000 0.000
```

=====

no.,density of states at the Fermi level (states/eV/cell),magnetization (μB/cell)
1,3.80,0.000
2,4.77,2.603
3,16.41,0.001
4,5.04,3.684
5,1.54,0.935
6,13.91,18.746
7,9.40,0.034
8,11.10,0.010
9,17.79,0.005
10,6.30,4.110
11,2.16,0.917
12,4.39,2.750